This record from the Alexandria database describes a PBEsol-optimized structure of InMo2Pt. The functional is SCAN.

Unit cell a=3.8034 b=3.8034 c=4.4574 alpha=90.00 beta=90.00 gamma=90.00
Last column: nearest neighbours and their distance in Å.
Atoms (fractional coordinates):
In (0.0000, 0.0000, 0.5000)  4 Pt 2.69, 8 Mo 2.93
Mo (0.0000, 0.5000, 0.0000)  4 Mo 2.69, 4 Pt 2.93, 4 In 2.93
Mo (0.5000, 0.0000, 0.0000)  4 Mo 2.69, 4 In 2.93, 4 Pt 2.93
Pt (0.5000, 0.5000, 0.5000)  4 In 2.69, 8 Mo 2.93

Results
Crystal system = tetragonal
ΔE_f = -0.7 kcal/mol of atoms
Magnetic moment = 0.0 μB/cell
SG = P4/mmm
Total DFT energy (no corrections) = -173.48 eV per cell
Density of states at the Fermi level = 2.47 states/eV/cell